Na2LaBiS4: optimized geometry, GGA-PBE.

a = 4.1566 Å, b = 7.1732 Å, c = 7.1474 Å
α = 109.57°, β = 90.00°, γ = 90.00°
With the nearest neighbours (Å) after each atom.
Fractional positions:
1 Na 0.5000 0.0000 0.5000  6 S 2.96-2.98
2 Na 0.0000 0.5000 0.5000  6 S 2.99-3.00
3 La 0.5000 0.5000 0.0000  6 S 2.88-2.89
4 Bi 0.0000 0.0000 0.0000  6 S 2.85-2.87
5 S 0.5000 0.2420 0.2365  2 Bi 2.87, 1 La 2.89, 3 Na 2.96-2.99
6 S 0.5000 0.7580 0.7635  2 Bi 2.87, 1 La 2.89, 3 Na 2.96-2.99
7 S 0.0000 0.2514 0.7646  1 Bi 2.85, 2 La 2.88, 3 Na 2.98-3.00
8 S 0.0000 0.7486 0.2354  1 Bi 2.85, 2 La 2.88, 3 Na 2.98-3.00

Summary:
The symmetry is P2/m, No. 10.

Na3LaBi2S6: optimized geometry, GGA-PBE.

a = 7.1390 Å, b = 7.1390 Å, c = 7.1655 Å
α = 99.52°, β = 99.52°, γ = 120.00°
With the nearest neighbours (Å) after each atom.
Fractional positions:
1 Na 0.1708 0.8292 0.5000  6 S 2.92-3.02
2 Na 0.8292 0.1708 0.5000  6 S 2.92-3.02
3 Na 0.5000 0.5000 0.5000  6 S 2.94-2.99
4 La 0.0000 0.0000 0.0000  6 S 2.89-2.90
5 Bi 0.3337 0.6663 0.0000  6 S 2.85
6 Bi 0.6663 0.3337 0.0000  6 S 2.85
7 S 0.9219 0.5838 0.7644  2 Bi 2.85, 1 La 2.89, 3 Na 2.92-2.99
8 S 0.7410 0.7410 0.2376  2 Bi 2.85, 1 La 2.90, 3 Na 2.94-3.02
9 S 0.0781 0.4162 0.2356  2 Bi 2.85, 1 La 2.89, 3 Na 2.92-2.99
10 S 0.5838 0.9219 0.7644  2 Bi 2.85, 1 La 2.89, 3 Na 2.92-2.99
11 S 0.2590 0.2590 0.7624  2 Bi 2.85, 1 La 2.90, 3 Na 2.94-3.02
12 S 0.4162 0.0781 0.2356  2 Bi 2.85, 1 La 2.89, 3 Na 2.92-2.99

Summary:
The symmetry is C2/m, No. 12.

| no. | total DFT energy (no corrections) (Ry per atom) |
| --- | --- |
| 1 | -0.353 |
| 2 | -0.336 |